A geometry-optimized Co2TcPt4 structure. Source: Alexandria, functional PBE-GGA.

Cell: 4.779 4.779 11.985 Å, 90.00 90.00 90.00°
Fractional positions:
Co: 0.000 0.000 0.094
Co: 0.000 0.000 0.906
Co: 0.500 0.500 0.406
Co: 0.500 0.500 0.594
Tc: 0.000 0.000 0.500
Tc: 0.500 0.500 0.000
Pt: 0.000 0.000 0.292
Pt: 0.000 0.000 0.708
Pt: 0.000 0.500 0.000
Pt: 0.000 0.500 0.500
Pt: 0.500 0.000 0.000
Pt: 0.500 0.000 0.500
Pt: 0.500 0.500 0.208
Pt: 0.500 0.500 0.792

Summary:
SG = I4/mmm, No. 139
ρ = 12.09 Mg/m³
Spin magnetization = 7.00 μB/cell
Energy relative to the elements = 1.168 eV/atom